Record 1
Compound: CsRbIn2Cl4
Source: Alexandria via LeMat-Bulk
Functional: PBE
Structure: relaxed Values from VASP.

```
&SYSTEM
  ibrav = 0, nat = 8, ntyp = 4
/
ATOMIC_SPECIES
Cs 132.91 Cs.upf
Rb 85.47 Rb.upf
In 114.82 In.upf
Cl 35.45 Cl.upf
ATOMIC_POSITIONS angstrom
Cs 0.0000 0.0000 0.0000
Rb -1.3872 2.3707 3.8605
In 2.6764 0.0000 3.8605
In 4.0636 2.3707 0.0000
Cl 0.0538 0.0000 5.7750
Cl 1.4437 2.3707 2.0324
Cl 3.9091 2.3707 5.6886
Cl 5.2990 0.0000 1.9460
CELL_PARAMETERS angstrom
8.1271 0.0000 0.0000
0.0000 4.7415 0.0000
-2.7744 0.0000 7.7210
```

Calculated volume = 298 Å³ per cell
Mass density = 3.292 Mg/m³
Formation energy without anion corrections = -1.36 eV per atom
VASP energy = -0.118 hartree per atom

Record 2
Compound: SrTcOs2
Source: Alexandria via LeMat-Bulk
Functional: PBE
Structure: relaxed Values from VASP.

```
&SYSTEM
  ibrav = 0, nat = 4, ntyp = 3
/
ATOMIC_SPECIES
Sr 87.62 Sr.upf
Tc 98.00 Tc.upf
Os 190.23 Os.upf
ATOMIC_POSITIONS angstrom
Sr 0.0000 0.0000 0.0000
Tc 0.0000 0.0000 4.2451
Os 1.4494 1.4494 2.5363
Os 1.4494 1.4494 5.9539
CELL_PARAMETERS angstrom
2.8989 0.0000 0.0000
0.0000 2.8989 0.0000
0.0000 0.0000 8.4901
```

Calculated volume = 71 Å³ per cell
Polymorph energy (0 for the lowest one) = 0.000 eV per atom
Mass density = 13.175 Mg/m³
VASP energy = -0.295 hartree per atom

Record 3
Compound: NiPRu
Source: Alexandria via LeMat-Bulk
Functional: PBE
Structure: relaxed Values from VASP.

```
&SYSTEM
  ibrav = 0, nat = 6, ntyp = 3
/
ATOMIC_SPECIES
Ni 58.69 Ni.upf
P 30.97 P.upf
Ru 101.07 Ru.upf
ATOMIC_POSITIONS angstrom
Ni 0.0000 0.0000 0.0000
Ni 1.4323 1.4323 4.4815
P 0.0000 0.0000 5.7899
P 1.4323 1.4323 1.3084
Ru 0.0000 0.0000 2.5943
Ru 1.4323 1.4323 7.0758
CELL_PARAMETERS angstrom
2.8646 0.0000 0.0000
0.0000 2.8646 0.0000
0.0000 0.0000 8.9630
```

Calculated volume = 74 Å³ per cell
Mass density = 8.613 Mg/m³
VASP energy = -0.258 hartree per atom

Record 4
Compound: Tl2BiAu2
Source: Alexandria via LeMat-Bulk
Functional: PBE
Structure: relaxed Values from VASP.

```
&SYSTEM
  ibrav = 0, nat = 10, ntyp = 3
/
ATOMIC_SPECIES
Tl 204.38 Tl.upf
Bi 208.98 Bi.upf
Au 196.97 Au.upf
ATOMIC_POSITIONS angstrom
Tl 1.3162 2.5876 0.0000
Tl 2.5876 6.4914 0.0000
Tl 5.2200 1.3162 0.0000
Tl 6.4914 5.2200 0.0000
Bi 0.0000 0.0000 2.1366
Bi 3.9038 3.9038 2.1366
Au 1.0248 4.9286 2.1366
Au 2.8790 1.0248 2.1366
Au 4.9286 6.7828 2.1366
Au 6.7828 2.8790 2.1366
CELL_PARAMETERS angstrom
7.8076 0.0000 0.0000
0.0000 7.8076 0.0000
0.0000 0.0000 4.2733
```

Calculated volume = 260 Å³ per cell
Polymorph energy (0 for the lowest one) = 0.040 eV per atom
Mass density = 12.898 Mg/m³
VASP energy = -0.111 hartree per atom

Record 5
Compound: Ti2V2Mo5
Source: Alexandria via LeMat-Bulk
Functional: PBE
Structure: relaxed Values from VASP.

```
&SYSTEM
  ibrav = 0, nat = 18, ntyp = 3
/
ATOMIC_SPECIES
Ti 47.87 Ti.upf
V 50.94 V.upf
Mo 95.94 Mo.upf
ATOMIC_POSITIONS angstrom
Ti 0.0000 0.0000 0.0000
Ti -0.4720 2.5813 0.9661
Ti 2.2813 -0.1746 4.6354
Ti 1.8760 2.4123 5.5761
V -0.5178 1.1373 5.0531
V -0.8835 3.6884 5.9508
V 1.9777 3.8825 1.3996
V 3.7774 -0.0290 2.3395
Mo -0.8887 5.1225 1.9061
Mo 0.8655 -0.2374 6.9199
Mo 0.9376 1.2145 2.7850
Mo 0.3719 2.2855 7.8527
Mo 0.4674 3.7468 3.6676
Mo 2.3673 1.2989 0.4848
Mo 3.7139 -1.4862 6.4614
Mo 3.2966 2.4497 3.2634
Mo 3.2408 1.0304 7.3517
Mo 5.0930 -1.4246 4.1598
CELL_PARAMETERS angstrom
5.1900 0.0000 0.0000
-2.3025 6.4387 0.0000
-0.1312 -2.9059 8.2644
```

Calculated volume = 276 Å³ per cell
Mass density = 8.145 Mg/m³
VASP energy = -0.364 hartree per atom

Record 6
Compound: CaLaSm3
Source: Alexandria via LeMat-Bulk
Functional: PBE
Structure: relaxed Values from VASP.

```
&SYSTEM
  ibrav = 0, nat = 10, ntyp = 3
/
ATOMIC_SPECIES
Ca 40.08 Ca.upf
La 138.91 La.upf
Sm 150.36 Sm.upf
ATOMIC_POSITIONS angstrom
Ca 0.0000 0.0000 5.9797
Ca 0.0000 0.0000 30.0413
La 0.0000 0.0000 12.0201
La 0.0000 0.0000 24.0010
Sm -1.0189 -1.7679 14.9156
Sm -2.0405 -0.0016 21.1055
Sm -1.0216 1.7664 14.9156
Sm 1.0216 -1.7664 21.1055
Sm 2.0405 0.0016 14.9156
Sm 1.0189 1.7679 21.1055
CELL_PARAMETERS angstrom
3.0767 1.7763 12.0070
-3.0767 1.7763 12.0070
0.0000 -3.5526 12.0070
```

Calculated volume = 394 Å³ per cell
Mass density = 5.315 Mg/m³
VASP energy = -0.142 hartree per atom

Record 7
Compound: PrNpSe2
Source: Alexandria via LeMat-Bulk
Functional: PBE
Structure: relaxed Values from VASP.

```
&SYSTEM
  ibrav = 0, nat = 12, ntyp = 3
/
ATOMIC_SPECIES
Pr 140.91 Pr.upf
Np 237.00 Np.upf
Se 78.96 Se.upf
ATOMIC_POSITIONS angstrom
Pr 0.0000 0.0000 0.0000
Pr 0.0000 2.4143 13.6698
Pr 2.0909 1.2072 6.8349
Np 0.0000 0.0000 10.2524
Np 0.0000 2.4143 3.4175
Np 2.0909 1.2072 17.0872
Se 0.0000 0.0000 5.0321
Se 0.0000 0.0000 15.4726
Se 0.0000 2.4143 8.6377
Se 0.0000 2.4143 18.7020
Se 2.0909 1.2072 1.8028
Se 2.0909 1.2072 11.8670
CELL_PARAMETERS angstrom
4.1817 0.0000 0.0000
-2.0909 3.6215 0.0000
0.0000 0.0000 20.5047
```

Calculated volume = 311 Å³ per cell
Polymorph energy (0 for the lowest one) = 0.000 eV per atom
Mass density = 8.596 Mg/m³
Formation energy without anion corrections = -1.46 eV per atom
VASP energy = -0.281 hartree per atom

Record 8
Compound: Ce2TeSe
Source: Alexandria via LeMat-Bulk
Functional: PBE
Structure: relaxed Values from VASP.

```
&SYSTEM
  ibrav = 0, nat = 8, ntyp = 3
/
ATOMIC_SPECIES
Ce 140.12 Ce.upf
Te 127.60 Te.upf
Se 78.96 Se.upf
ATOMIC_POSITIONS angstrom
Ce 0.0000 2.4617 1.6325
Ce 0.0000 2.4617 5.7924
Ce 2.1319 1.2309 9.0574
Ce 2.1319 1.2309 13.2173
Te 0.0000 2.4617 11.1373
Te 2.1319 1.2309 3.7124
Se 0.0000 0.0000 0.0000
Se 0.0000 0.0000 7.4249
CELL_PARAMETERS angstrom
4.2638 0.0000 0.0000
-2.1319 3.6926 0.0000
0.0000 0.0000 14.8498
```

Calculated volume = 234 Å³ per cell
Polymorph energy (0 for the lowest one) = 0.017 eV per atom
Mass density = 6.915 Mg/m³
Formation energy without anion corrections = -1.57 eV per atom
VASP energy = -0.227 hartree per atom

> What is the formula in the second record?

SrTcOs2

> Which value of VASP energy does entry 2 give?

-0.295 hartree per atom